(1)
Below is crystalline KLiLa2 at its relaxed geometry, with properties calculated at the PBE level.

Cell: 3.6809 3.6809 12.5636 Å, 90.00 90.00 113.13°
Positions (direct):
K (0.0000, 0.0000, 0.0000)
Li (0.5000, 0.5000, 0.2557)
La (0.0000, 0.0000, 0.4757)
La (0.5000, 0.5000, 0.7062)

Raw total energy ... -12.05 eV per cell
Calculated density ... 3435 kg/m3
Symmetry ... Cmm2 (35)
Polymorph energy (0 for the lowest one) ... 0.040 eV per atom
Energy relative to the elements ... 20 kJ per mole of atoms

***

(2)
Below is crystalline YInCu at its relaxed geometry, with properties calculated at the PBE level.

Cell: 3.5554 8.1645 4.5947 Å, 90.00 90.00 90.00°
Positions (direct):
Y (0.0000, 0.2063, 0.0000)
Y (0.0000, 0.7937, 0.5000)
In (0.5000, 0.3993, 0.5000)
In (0.5000, 0.6007, 0.0000)
Cu (0.5000, 0.0725, 0.4990)
Cu (0.5000, 0.9275, 0.9990)

Raw total energy ... -28.72 eV per cell
Calculated density ... 6655 kg/m3
Symmetry ... Pmc2_1 (26)
Energy relative to the elements ... -34 kJ per mole of atoms

***

(3)
Below is crystalline As2SeBr at its relaxed geometry, with properties calculated at the PBE level.

Cell: 3.8459 4.8171 5.6919 Å, 90.00 108.44 90.00°
Positions (direct):
As (0.1882, 0.0000, 0.3427)
As (0.8118, 0.0000, 0.6573)
Se (0.0000, 0.5000, 0.5000)
Br (0.5000, 0.5000, 0.0000)

Raw total energy ... -14.03 eV per cell
Calculated density ... 5124 kg/m3
Symmetry ... P2/m (10)
Polymorph energy (0 for the lowest one) ... 0.148 eV per atom
Formation energy (no corrections) ... 106 meV per atom

***

(4)
Below is crystalline Tb2TmF11 at its relaxed geometry, with properties calculated at the PBE level.

Cell: 8.5943 8.5943 8.5943 Å, 121.62 107.16 100.40°
Positions (direct):
Tb (0.1900, 0.1612, 0.3513)
Tb (0.3100, 0.6612, 0.9712)
Tb (0.6900, 0.3388, 0.0288)
Tb (0.8100, 0.8388, 0.6487)
Tm (0.2500, 0.7500, 0.5000)
Tm (0.7500, 0.2500, 0.5000)
F (0.0000, 0.0000, 0.0000)
F (0.0236, 0.4548, 0.7685)
F (0.0605, 0.8372, 0.6273)
F (0.1863, 0.9548, 0.4313)
F (0.1924, 0.8916, 0.0839)
F (0.2099, 0.4333, 0.3727)
F (0.2901, 0.6628, 0.2234)
F (0.3076, 0.3916, 0.6992)
F (0.3137, 0.7450, 0.7685)
F (0.4395, 0.0667, 0.7766)
F (0.4764, 0.2450, 0.4313)
F (0.5000, 0.5000, 0.0000)
F (0.5236, 0.7550, 0.5687)
F (0.5605, 0.9333, 0.2234)
F (0.6863, 0.2550, 0.2315)
F (0.6924, 0.6084, 0.3008)
F (0.7099, 0.3372, 0.7766)
F (0.7901, 0.5667, 0.6273)
F (0.8076, 0.1084, 0.9161)
F (0.8137, 0.0452, 0.5687)
F (0.9395, 0.1628, 0.3727)
F (0.9764, 0.5452, 0.2315)

Raw total energy ... -165.60 eV per cell
Calculated density ... 4911 kg/m3
Symmetry ... Ibam (72)
Formation energy (no corrections) ... -3463 meV per atom

***

Repeat the third record exactly.
Below is crystalline As2SeBr at its relaxed geometry, with properties calculated at the PBE level.

Cell: 3.8459 4.8171 5.6919 Å, 90.00 108.44 90.00°
Positions (direct):
As (0.1882, 0.0000, 0.3427)
As (0.8118, 0.0000, 0.6573)
Se (0.0000, 0.5000, 0.5000)
Br (0.5000, 0.5000, 0.0000)

Raw total energy ... -14.03 eV per cell
Calculated density ... 5124 kg/m3
Symmetry ... P2/m (10)
Polymorph energy (0 for the lowest one) ... 0.148 eV per atom
Formation energy (no corrections) ... 106 meV per atom